Record 1
VASP calculation (GGA-PBE) on a relaxed BaZnIn6 crystal.

Cell lengths 5.0744, 5.0744, 8.8782 Å; angles 90.00, 90.00, 90.00 degrees
Atoms (fractional coordinates):
Ba1 0.0000 0.0000 0.0000
Zn1 0.0000 0.0000 0.5000
In1 0.5000 0.0000 0.6673
In2 0.0000 0.5000 0.6673
In3 0.5000 0.5000 0.1587
In4 0.5000 0.5000 0.8413
In5 0.0000 0.5000 0.3327
In6 0.5000 0.0000 0.3327

Results
E_tot = -21.3 eV for the cell shown
formation enthalpy at 0 K = -0.207 eV/atom
space-group type = P4/mmm (123)
crystal system = tetragonal


Record 2
VASP calculation (GGA-PBE) on a relaxed Ba2ZnIn crystal.

Cell lengths 10.4400, 10.4400, 10.4400 Å; angles 24.08, 24.08, 24.08 degrees
Atoms (fractional coordinates):
Ba1 0.0043 0.0043 0.0043
Ba2 0.4957 0.4957 0.4957
In1 0.2500 0.2500 0.2500
Zn1 0.7500 0.7500 0.7500

Results
E_tot = -8.2 eV for the cell shown
formation enthalpy at 0 K = -0.077 eV/atom
space-group type = R-3m (166)
crystal system = trigonal


Record 3
VASP calculation (GGA-PBE) on a relaxed BaZn2In crystal.

Cell lengths 4.3751, 4.1757, 6.5334 Å; angles 71.28, 90.00, 90.00 degrees
Atoms (fractional coordinates):
Ba1 0.0000 0.4589 0.4557
In1 0.5000 0.7587 0.8581
Zn1 0.0000 0.1928 0.9952
Zn2 0.5000 0.0897 0.1910

Results
E_tot = -7.8 eV for the cell shown
formation enthalpy at 0 K = -0.159 eV/atom
space-group type = Pm (6)
crystal system = monoclinic


Record 4
VASP calculation (GGA-PBE) on a relaxed Ba8Zn2In crystal.

Cell lengths 6.0336, 8.4328, 10.9658 Å; angles 107.89, 105.97, 90.00 degrees
Atoms (fractional coordinates):
Ba1 0.4055 0.5484 0.8109
Ba2 0.6727 0.9703 0.3454
Ba3 0.8004 0.6804 0.6009
Ba4 0.9635 0.2026 0.9270
Ba5 0.1996 0.3196 0.3991
Ba6 0.3273 0.0297 0.6546
Ba7 0.5945 0.4516 0.1891
Ba8 0.0365 0.7974 0.0730
Zn1 0.8149 0.2952 0.6298
Zn2 0.1851 0.7048 0.3702
In1 0.5000 0.0000 0.0000

Results
E_tot = -21.9 eV for the cell shown
formation enthalpy at 0 K = -0.112 eV/atom
space-group type = C2/m (12)
energy relative to the lowest polymorph listed for this composition = 11 kJ/mol of formula units
crystal system = monoclinic


Record 5
VASP calculation (GGA-PBE) on a relaxed BaZnIn crystal.

Cell lengths 5.0771, 6.4074, 6.5932 Å; angles 80.87, 67.35, 66.66 degrees
Atoms (fractional coordinates):
Ba1 0.5523 0.2022 0.6933
Ba2 0.4477 0.7978 0.3067
Zn1 0.1571 0.4059 0.2800
Zn2 0.8429 0.5941 0.7200
In1 0.8312 0.2402 0.0975
In2 0.1688 0.7598 0.9025

Results
E_tot = -13.8 eV for the cell shown
formation enthalpy at 0 K = -0.322 eV/atom
space-group type = C2/m (12)
crystal system = monoclinic


Record 6
VASP calculation (GGA-PBE) on a relaxed Ba3ZnIn2 crystal.

Cell lengths 4.2436, 5.9534, 9.4147 Å; angles 108.43, 90.00, 90.00 degrees
Atoms (fractional coordinates):
Ba1 0.5000 0.5000 0.0000
Ba2 0.5000 0.8407 0.6815
Ba3 0.5000 0.1593 0.3185
Zn1 0.0000 0.0000 0.0000
In1 0.0000 0.3252 0.6503
In2 0.0000 0.6748 0.3497

Results
E_tot = -14.4 eV for the cell shown
formation enthalpy at 0 K = -0.317 eV/atom
space-group type = Cmmm (65)
crystal system = orthorhombic


Record 7
VASP calculation (GGA-PBE) on a relaxed Ba2Zn2In crystal.

Cell lengths 6.5906, 6.5906, 6.5906 Å; angles 137.55, 121.76, 74.69 degrees
Atoms (fractional coordinates):
Ba1 0.3109 0.8109 0.5000
Ba2 0.6891 0.1891 0.5000
Zn1 0.7552 0.5000 0.2552
Zn2 0.2448 0.5000 0.7448
In1 0.0000 0.0000 0.0000

Results
E_tot = -10.5 eV for the cell shown
formation enthalpy at 0 K = -0.266 eV/atom
space-group type = Immm (71)
crystal system = orthorhombic


Record 8
VASP calculation (GGA-PBE) on a relaxed Ba4ZnIn crystal.

Cell lengths 7.3129, 7.3129, 7.3129 Å; angles 60.00, 60.00, 60.00 degrees
Atoms (fractional coordinates):
Ba1 0.8737 0.3754 0.3754
Ba2 0.3754 0.3754 0.8737
Ba3 0.3754 0.8737 0.3754
Ba4 0.3754 0.3754 0.3754
Zn1 0.0000 0.0000 0.0000
In1 0.7500 0.7500 0.7500

Results
E_tot = -9.3 eV for the cell shown
formation enthalpy at 0 K = 0.392 eV/atom
space-group type = F-43m (216)
energy relative to the lowest polymorph listed for this composition = 355 kJ/mol of formula units
crystal system = cubic


Record 9
VASP calculation (GGA-PBE) on a relaxed Ba8Zn2In crystal.

Cell lengths 5.9955, 8.2678, 11.0416 Å; angles 106.36, 105.75, 90.04 degrees
Atoms (fractional coordinates):
Ba1 0.6218 0.2401 0.8797
Ba2 0.9849 0.0756 0.6074
Ba3 0.2927 0.3111 0.2216
Ba4 0.7481 0.9501 0.1330
Ba5 0.3591 0.8372 0.3562
Ba6 0.9201 0.4804 0.4768
Ba7 0.1596 0.5765 0.9542
Ba8 0.5489 0.7136 0.7334
Zn1 0.7693 0.5576 0.1742
Zn2 0.4547 0.2750 0.5468
In1 0.1407 0.9829 0.9167

Results
E_tot = -22.0 eV for the cell shown
formation enthalpy at 0 K = -0.122 eV/atom
space-group type = P1 (1)
energy relative to the lowest polymorph listed for this composition = 0 kJ/mol of formula units
crystal system = triclinic


Record 10
VASP calculation (GGA-PBE) on a relaxed Ba5Zn2In crystal.

Cell lengths 9.2156, 9.2156, 10.3434 Å; angles 116.45, 116.45, 90.00 degrees
Atoms (fractional coordinates):
Ba1 0.5318 0.6847 0.7165
Ba2 0.8153 0.9682 0.2835
Ba3 0.0000 0.0000 0.0000
Ba4 0.5000 0.5000 0.0000
Ba5 0.1847 0.0318 0.7165
Ba6 0.6847 0.1847 0.7165
Ba7 0.0318 0.5318 0.7165
Ba8 0.3153 0.8153 0.2835
Ba9 0.9682 0.4682 0.2835
Ba10 0.4682 0.3153 0.2835
Zn1 0.1059 0.3941 0.0000
Zn2 0.6059 0.1059 0.0000
Zn3 0.3941 0.8941 0.0000
Zn4 0.8941 0.6059 0.0000
In1 0.7500 0.7500 0.5000
In2 0.2500 0.2500 0.5000

Results
E_tot = -32.7 eV for the cell shown
formation enthalpy at 0 K = -0.179 eV/atom
space-group type = I4/mcm (140)
crystal system = tetragonal


Record 11
VASP calculation (GGA-PBE) on a relaxed BaZnIn2 crystal.

Cell lengths 3.7912, 3.7646, 8.0197 Å; angles 90.00, 90.00, 90.00 degrees
Atoms (fractional coordinates):
Ba1 0.5000 0.5000 0.7500
In1 0.0000 0.0000 0.0621
In2 0.0000 0.0000 0.4379
Zn1 0.5000 0.5000 0.2500

Results
E_tot = -9.4 eV for the cell shown
formation enthalpy at 0 K = -0.186 eV/atom
space-group type = Pmmm (47)
crystal system = orthorhombic


Record 12
VASP calculation (GGA-PBE) on a relaxed BaZnIn crystal.

Cell lengths 6.8491, 6.8495, 3.7952 Å; angles 73.91, 73.92, 32.17 degrees
Atoms (fractional coordinates):
Ba1 0.0076 0.0076 0.9924
In1 0.3028 0.3028 0.6972
Zn1 0.6896 0.6896 0.3104

Results
E_tot = -6.4 eV for the cell shown
formation enthalpy at 0 K = -0.171 eV/atom
space-group type = I4mm (107)
crystal system = tetragonal


| no. | D(E_F) (states/eV per cell) |
| --- | --- |
| 1 | 1.78 |
| 2 | 4.39 |
| 3 | 2.75 |
| 4 | 15.02 |
| 5 | 5.33 |
| 6 | 4.26 |
| 7 | 3.71 |
| 8 | 8.49 |
| 9 | 13.45 |
| 10 | 21.83 |
| 11 | 1.95 |
| 12 | 1.74 |